NpTl2InSe5: relaxed, PBE-GGA.

Computed properties:
**Calculated density**: 6.9 g/cm3
**Density of states at the Fermi level**: 0.68 states/eV per atom
**Space-group type**: Cmc2_1 (36)
**Uncorrected formation energy**: -0.6312 eV/atom
**Final energy**: -4.835 eV per atom

Cell: 9.722 9.722 14.074 Å, 90.00 90.00 155.20°
Positions (direct):
Np 0.207 0.793 0.500
Np 0.793 0.207 0.000
Tl 0.110 0.890 0.143
Tl 0.123 0.877 0.796
Tl 0.877 0.123 0.296
Tl 0.890 0.110 0.643
In 0.439 0.561 0.899
In 0.561 0.439 0.399
Se 0.055 0.945 0.518
Se 0.287 0.713 0.128
Se 0.300 0.700 0.863
Se 0.346 0.654 0.480
Se 0.496 0.504 0.244
Se 0.504 0.496 0.744
Se 0.654 0.346 0.980
Se 0.700 0.300 0.363
Se 0.713 0.287 0.628
Se 0.945 0.055 0.018

TbHfP2: relaxed, PBE-GGA.

Computed properties:
**Calculated density**: 8.2 g/cm3
**Density of states at the Fermi level**: 0.36 states/eV per atom
**ΔE_f**: -1.45 eV per atom
**Space-group type**: C2/m (12)
**Distance to the lowest polymorph of the same formula**: 0 meV per atom
**Final energy**: -7.801 eV per atom

Cell: 3.833 3.833 6.721 Å, 106.47 106.47 59.93°
Positions (direct):
Tb 0.000 0.000 0.000
Hf 0.500 0.500 0.500
P 0.244 0.244 0.730
P 0.756 0.756 0.270

PmY2Ga2: relaxed, PBE-GGA.

Computed properties:
**Calculated density**: 5.9 g/cm3
**Density of states at the Fermi level**: 1.21 states/eV per atom
**ΔE_f**: -0.50 eV per atom
**Space-group type**: P4/mbm (127)
**Distance to the lowest polymorph of the same formula**: 0 meV per atom
**Final energy**: -5.251 eV per atom

Cell: 7.722 7.722 4.369 Å, 90.00 90.00 90.00°
Positions (direct):
Pm 0.000 0.000 0.000
Pm 0.500 0.500 0.000
Y 0.174 0.326 0.500
Y 0.326 0.826 0.500
Y 0.674 0.174 0.500
Y 0.826 0.674 0.500
Ga 0.118 0.618 0.000
Ga 0.382 0.118 0.000
Ga 0.618 0.882 0.000
Ga 0.882 0.382 0.000

Pr3SnPb2: relaxed, PBE-GGA.

Computed properties:
**Calculated density**: 7.9 g/cm3
**Density of states at the Fermi level**: 0.65 states/eV per atom
**ΔE_f**: -0.50 eV per atom
**Space-group type**: C2/c (15)
**Distance to the lowest polymorph of the same formula**: 23 meV per atom
**Final energy**: -4.796 eV per atom

Cell: 8.942 8.942 7.588 Å, 102.19 102.19 42.62°
Positions (direct):
Pr 0.007 0.993 0.750
Pr 0.334 0.340 0.418
Pr 0.340 0.334 0.918
Pr 0.660 0.666 0.082
Pr 0.666 0.660 0.582
Pr 0.993 0.007 0.250
Sn 0.492 0.508 0.250
Sn 0.508 0.492 0.750
Pb 0.165 0.171 0.084
Pb 0.171 0.165 0.584
Pb 0.829 0.835 0.416
Pb 0.835 0.829 0.916